Below is crystalline AcTmNO at its relaxed geometry, with properties calculated at the PBE level.

Summary:
Magnetization in μB/atom: 0.220
V in A^3/atom: 19.81
ΔE to the lowest computed polymorph in meV/atom: 18

```
data_AcTmNO
_chemical_formula_sum 'Ac2 Tm2 N2 O2'
_cell_length_a 4.0547
_cell_length_b 7.0942
_cell_length_c 5.5083
_cell_angle_alpha 90.00
_cell_angle_beta 90.00
_cell_angle_gamma 90.00
_symmetry_space_group_name_H-M 'P m c 21'
_symmetry_Int_Tables_number 26
loop_
_symmetry_equiv_pos_as_xyz
'x,y,z'
'-x,-y,z+1/2'
'-x,y,z'
'x,-y,z+1/2'
loop_
_atom_site_label
_atom_site_type_symbol
_atom_site_fract_x
_atom_site_fract_y
_atom_site_fract_z
_atom_site_occupancy
Ac1 Ac 0.0000 0.1666 0.0000 1
Tm1 Tm 0.5000 0.3374 0.5198 1
N1 N 0.5000 0.3633 0.9219 1
O1 O 0.0000 0.2144 0.4870 1
```